Entry 1:
Computed, not measured: DySiRu at its PBEsol-relaxed geometry at the SCAN level of DFT.

Summary:
The calculation puts the total magnetization at 0.00 μB per formula unit. The calculation puts the density at 9.33 Mg/m³. The space-group type is Pnma. For the total energy, the calculation gives -95.4 eV per formula unit.

Cell and atoms, written as CIF:
```
data_DySiRu
_cell_length_a 6.921
_cell_length_b 4.301
_cell_length_c 6.975
_cell_angle_alpha 90.00
_cell_angle_beta 90.00
_cell_angle_gamma 90.00
_space_group_name_H-M_alt 'P 1'
_space_group_IT_number 1
_space_group_name_Hall 'P 1'
loop_
_atom_site_label
_atom_site_fract_x
_atom_site_fract_y
_atom_site_fract_z
Dy1 0.017 0.250 0.185
Dy2 0.483 0.750 0.685
Dy3 0.517 0.250 0.315
Dy4 0.983 0.750 0.815
Si1 0.195 0.250 0.608
Si2 0.305 0.750 0.108
Si3 0.695 0.250 0.892
Si4 0.805 0.750 0.392
Ru1 0.153 0.750 0.434
Ru2 0.347 0.250 0.934
Ru3 0.653 0.750 0.066
Ru4 0.847 0.250 0.566
```

Entry 2:
Computed, not measured: DySi2Ru2 at its PBEsol-relaxed geometry at the SCAN level of DFT.

Summary:
The calculation puts the total magnetization at 0.00 μB per formula unit. The calculation puts the density at 8.65 Mg/m³. The space-group type is I4/mmm. For the total energy, the calculation gives -142.5 eV per formula unit.

Cell and atoms, written as CIF:
```
data_DySi2Ru2
_cell_length_a 5.568
_cell_length_b 5.568
_cell_length_c 5.568
_cell_angle_alpha 136.47
_cell_angle_beta 136.47
_cell_angle_gamma 63.25
_space_group_name_H-M_alt 'P 1'
_space_group_IT_number 1
_space_group_name_Hall 'P 1'
loop_
_atom_site_label
_atom_site_fract_x
_atom_site_fract_y
_atom_site_fract_z
Dy1 0.000 0.000 0.000
Si1 0.369 0.369 0.000
Si2 0.631 0.631 0.000
Ru1 0.250 0.750 0.500
Ru2 0.750 0.250 0.500
```

Entry 3:
Computed, not measured: SmDyRu2 at its PBEsol-relaxed geometry at the SCAN level of DFT.

Summary:
The value obtained for the calculated formation energy is -329 meV/atom. The calculation puts the total magnetization at 0.00 μB per formula unit. The calculation puts the density at 11.13 Mg/m³. The space-group type is Fm-3m.

Cell and atoms, written as CIF:
```
data_SmDyRu2
_cell_length_a 4.772
_cell_length_b 4.772
_cell_length_c 4.772
_cell_angle_alpha 60.00
_cell_angle_beta 60.00
_cell_angle_gamma 60.00
_space_group_name_H-M_alt 'P 1'
_space_group_IT_number 1
_space_group_name_Hall 'P 1'
loop_
_atom_site_label
_atom_site_fract_x
_atom_site_fract_y
_atom_site_fract_z
Sm1 0.000 0.000 0.000
Dy1 0.500 0.500 0.500
Ru1 0.250 0.250 0.250
Ru2 0.750 0.750 0.750
```

Entry 4:
Computed, not measured: DySnRu2 at its PBEsol-relaxed geometry at the SCAN level of DFT.

Summary:
The value obtained for the calculated formation energy is -402 meV/atom. The calculation puts the total magnetization at 0.00 μB per formula unit. The calculation puts the density at 11.68 Mg/m³. The space-group type is Fm-3m.

Cell and atoms, written as CIF:
```
data_DySnRu2
_cell_length_a 4.597
_cell_length_b 4.597
_cell_length_c 4.597
_cell_angle_alpha 60.00
_cell_angle_beta 60.00
_cell_angle_gamma 60.00
_space_group_name_H-M_alt 'P 1'
_space_group_IT_number 1
_space_group_name_Hall 'P 1'
loop_
_atom_site_label
_atom_site_fract_x
_atom_site_fract_y
_atom_site_fract_z
Dy1 0.000 0.000 0.000
Sn1 0.500 0.500 0.500
Ru1 0.250 0.250 0.250
Ru2 0.750 0.750 0.750
```

Entry 5:
Computed, not measured: DyTaRu2 at its PBEsol-relaxed geometry at the SCAN level of DFT.

Summary:
The value obtained for the calculated formation energy is -472 meV/atom. The calculation puts the total magnetization at 0.00 μB per formula unit. The calculation puts the density at 13.50 Mg/m³. The space-group type is Fm-3m.

Cell and atoms, written as CIF:
```
data_DyTaRu2
_cell_length_a 4.561
_cell_length_b 4.561
_cell_length_c 4.561
_cell_angle_alpha 60.00
_cell_angle_beta 60.00
_cell_angle_gamma 60.00
_space_group_name_H-M_alt 'P 1'
_space_group_IT_number 1
_space_group_name_Hall 'P 1'
loop_
_atom_site_label
_atom_site_fract_x
_atom_site_fract_y
_atom_site_fract_z
Dy1 0.000 0.000 0.000
Ta1 0.500 0.500 0.500
Ru1 0.250 0.250 0.250
Ru2 0.750 0.750 0.750
```

Entry 6:
Computed, not measured: DyThRu2 at its PBEsol-relaxed geometry at the SCAN level of DFT.

Summary:
The value obtained for the calculated formation energy is -482 meV/atom. The calculation puts the total magnetization at 0.00 μB per formula unit. The calculation puts the density at 12.31 Mg/m³. The space-group type is Fm-3m.

Cell and atoms, written as CIF:
```
data_DyThRu2
_cell_length_a 4.847
_cell_length_b 4.847
_cell_length_c 4.847
_cell_angle_alpha 60.00
_cell_angle_beta 60.00
_cell_angle_gamma 60.00
_space_group_name_H-M_alt 'P 1'
_space_group_IT_number 1
_space_group_name_Hall 'P 1'
loop_
_atom_site_label
_atom_site_fract_x
_atom_site_fract_y
_atom_site_fract_z
Dy1 0.000 0.000 0.000
Th1 0.500 0.500 0.500
Ru1 0.250 0.250 0.250
Ru2 0.750 0.750 0.750
```

Entry 7:
Computed, not measured: Dy2ZnRu at its PBEsol-relaxed geometry at the SCAN level of DFT.

Summary:
The value obtained for the calculated formation energy is -463 meV/atom. The calculation puts the total magnetization at 0.00 μB per formula unit. The calculation puts the density at 10.29 Mg/m³. The space-group type is Fm-3m.

Cell and atoms, written as CIF:
```
data_Dy2ZnRu
_cell_length_a 4.822
_cell_length_b 4.822
_cell_length_c 4.822
_cell_angle_alpha 60.00
_cell_angle_beta 60.00
_cell_angle_gamma 60.00
_space_group_name_H-M_alt 'P 1'
_space_group_IT_number 1
_space_group_name_Hall 'P 1'
loop_
_atom_site_label
_atom_site_fract_x
_atom_site_fract_y
_atom_site_fract_z
Dy1 0.250 0.250 0.250
Dy2 0.750 0.750 0.750
Zn1 0.000 0.000 0.000
Ru1 0.500 0.500 0.500
```

Entry 8:
Computed, not measured: DyZn20Ru2 at its PBEsol-relaxed geometry at the SCAN level of DFT.

Summary:
The value obtained for the calculated formation energy is -215 meV/atom. The calculation puts the total magnetization at 0.00 μB per formula unit. The calculation puts the density at 8.15 Mg/m³. The space-group type is Fd-3m.

Cell and atoms, written as CIF:
```
data_DyZn20Ru2
_cell_length_a 9.879
_cell_length_b 9.879
_cell_length_c 9.879
_cell_angle_alpha 60.00
_cell_angle_beta 60.00
_cell_angle_gamma 60.00
_space_group_name_H-M_alt 'P 1'
_space_group_IT_number 1
_space_group_name_Hall 'P 1'
loop_
_atom_site_label
_atom_site_fract_x
_atom_site_fract_y
_atom_site_fract_z
Dy1 0.125 0.125 0.125
Dy2 0.875 0.875 0.875
Zn1 0.000 0.000 0.000
Zn2 0.000 0.000 0.500
Zn3 0.000 0.500 0.000
Zn4 0.056 0.325 0.325
Zn5 0.056 0.325 0.794
Zn6 0.056 0.794 0.325
Zn7 0.206 0.675 0.675
Zn8 0.206 0.675 0.944
Zn9 0.206 0.944 0.675
Zn10 0.238 0.238 0.512
Zn11 0.238 0.512 0.238
Zn12 0.238 0.512 0.512
Zn13 0.325 0.056 0.325
Zn14 0.325 0.056 0.794
Zn15 0.325 0.325 0.056
Zn16 0.325 0.325 0.794
Zn17 0.325 0.794 0.056
Zn18 0.325 0.794 0.325
Zn19 0.488 0.488 0.762
Zn20 0.488 0.762 0.488
Zn21 0.488 0.762 0.762
Zn22 0.500 0.000 0.000
Zn23 0.512 0.238 0.238
Zn24 0.512 0.238 0.512
Zn25 0.512 0.512 0.238
Zn26 0.675 0.206 0.675
Zn27 0.675 0.206 0.944
Zn28 0.675 0.675 0.206
Zn29 0.675 0.675 0.944
Zn30 0.675 0.944 0.206
Zn31 0.675 0.944 0.675
Zn32 0.762 0.488 0.488
Zn33 0.762 0.488 0.762
Zn34 0.762 0.762 0.488
Zn35 0.794 0.056 0.325
Zn36 0.794 0.325 0.056
Zn37 0.794 0.325 0.325
Zn38 0.944 0.206 0.675
Zn39 0.944 0.675 0.206
Zn40 0.944 0.675 0.675
Ru1 0.000 0.500 0.500
Ru2 0.500 0.000 0.500
Ru3 0.500 0.500 0.000
Ru4 0.500 0.500 0.500
```

Entry 9:
Computed, not measured: Dy3S4 at its PBEsol-relaxed geometry at the SCAN level of DFT.

Summary:
The calculation puts the total magnetization at 0.00 μB per formula unit. The calculation puts the density at 7.52 Mg/m³. The space-group type is I-43d. For the total energy, the calculation gives -197.6 eV per formula unit.

Cell and atoms, written as CIF:
```
data_Dy3S4
_cell_length_a 7.069
_cell_length_b 7.069
_cell_length_c 7.069
_cell_angle_alpha 109.47
_cell_angle_beta 109.47
_cell_angle_gamma 109.47
_space_group_name_H-M_alt 'P 1'
_space_group_IT_number 1
_space_group_name_Hall 'P 1'
loop_
_atom_site_label
_atom_site_fract_x
_atom_site_fract_y
_atom_site_fract_z
Dy1 0.125 0.750 0.875
Dy2 0.250 0.625 0.375
Dy3 0.375 0.250 0.625
Dy4 0.625 0.375 0.250
Dy5 0.750 0.875 0.125
Dy6 0.875 0.125 0.750
S1 0.000 0.352 0.500
S2 0.000 0.852 0.500
S3 0.148 0.148 0.148
S4 0.352 0.500 0.000
S5 0.500 0.000 0.352
S6 0.500 0.000 0.852
S7 0.648 0.648 0.648
S8 0.852 0.500 0.000
```

Entry 10:
Computed, not measured: Dy12Si5S28 at its PBEsol-relaxed geometry at the SCAN level of DFT.

Summary:
The calculation puts the total magnetization at 0.00 μB per formula unit. The calculation puts the density at 5.46 Mg/m³. The space-group type is P1. For the total energy, the calculation gives -975.1 eV per formula unit.

Cell and atoms, written as CIF:
```
data_Dy12Si5S28
_cell_length_a 9.648
_cell_length_b 11.163
_cell_length_c 11.176
_cell_angle_alpha 60.57
_cell_angle_beta 64.45
_cell_angle_gamma 64.42
_space_group_name_H-M_alt 'P 1'
_space_group_IT_number 1
_space_group_name_Hall 'P 1'
loop_
_atom_site_label
_atom_site_fract_x
_atom_site_fract_y
_atom_site_fract_z
Dy1 0.000 0.000 0.000
Dy2 0.001 0.471 0.511
Dy3 0.084 0.702 0.708
Dy4 0.096 0.190 0.223
Dy5 0.354 0.662 0.209
Dy6 0.355 0.178 0.674
Dy7 0.445 0.895 0.387
Dy8 0.456 0.359 0.907
Dy9 0.569 0.237 0.271
Dy10 0.590 0.744 0.749
Dy11 0.859 0.613 0.157
Dy12 0.872 0.133 0.629
Si1 0.225 0.655 0.978
Si2 0.558 0.009 0.949
Si3 0.558 0.516 0.458
Si4 0.890 0.434 0.869
Si5 0.891 0.932 0.365
S1 0.062 0.173 0.718
S2 0.072 0.666 0.207
S3 0.122 0.437 0.723
S4 0.124 0.935 0.218
S5 0.127 0.964 0.509
S6 0.136 0.470 0.012
S7 0.315 0.839 0.935
S8 0.318 0.381 0.420
S9 0.323 0.154 0.945
S10 0.328 0.669 0.458
S11 0.363 0.652 0.753
S12 0.391 0.166 0.200
S13 0.462 0.502 0.045
S14 0.481 0.995 0.540
S15 0.555 0.328 0.642
S16 0.559 0.824 0.138
S17 0.638 0.472 0.268
S18 0.647 0.972 0.756
S19 0.696 0.639 0.428
S20 0.714 0.121 0.912
S21 0.742 0.464 0.754
S22 0.749 0.965 0.243
S23 0.802 0.627 0.909
S24 0.803 0.123 0.408
S25 0.884 0.253 0.062
S26 0.897 0.740 0.547
S27 0.960 0.347 0.385
S28 0.996 0.814 0.910
```

Entry 11:
Computed, not measured: Dy4Si3S12 at its PBEsol-relaxed geometry at the SCAN level of DFT.

Summary:
The calculation puts the total magnetization at 0.00 μB per formula unit. The calculation puts the density at 4.47 Mg/m³. The space-group type is P2_1/c. For the total energy, the calculation gives -367.2 eV per formula unit.

Cell and atoms, written as CIF:
```
data_Dy4Si3S12
_cell_length_a 9.735
_cell_length_b 10.841
_cell_length_c 16.901
_cell_angle_alpha 90.00
_cell_angle_beta 111.12
_cell_angle_gamma 90.00
_space_group_name_H-M_alt 'P 1'
_space_group_IT_number 1
_space_group_name_Hall 'P 1'
loop_
_atom_site_label
_atom_site_fract_x
_atom_site_fract_y
_atom_site_fract_z
Dy1 0.016 0.017 0.125
Dy2 0.016 0.483 0.625
Dy3 0.101 0.625 0.132
Dy4 0.101 0.875 0.632
Dy5 0.316 0.651 0.941
Dy6 0.316 0.849 0.441
Dy7 0.470 0.237 0.290
Dy8 0.470 0.263 0.790
Dy9 0.530 0.737 0.210
Dy10 0.530 0.763 0.710
Dy11 0.684 0.151 0.559
Dy12 0.684 0.349 0.059
Dy13 0.899 0.125 0.368
Dy14 0.899 0.375 0.868
Dy15 0.984 0.517 0.375
Dy16 0.984 0.983 0.875
Si1 0.025 0.215 0.733
Si2 0.025 0.285 0.233
Si3 0.259 0.617 0.560
Si4 0.259 0.883 0.060
Si5 0.397 0.054 0.617
Si6 0.397 0.446 0.117
Si7 0.603 0.554 0.883
Si8 0.603 0.946 0.383
Si9 0.741 0.117 0.940
Si10 0.741 0.383 0.440
Si11 0.975 0.715 0.767
Si12 0.975 0.785 0.267
S1 0.070 0.539 0.812
S2 0.070 0.961 0.312
S3 0.094 0.741 0.485
S4 0.094 0.759 0.985
S5 0.112 0.213 0.867
S6 0.112 0.287 0.367
S7 0.161 0.663 0.314
S8 0.161 0.837 0.814
S9 0.183 0.061 0.027
S10 0.183 0.439 0.527
S11 0.186 0.025 0.522
S12 0.186 0.475 0.022
S13 0.189 0.224 0.188
S14 0.189 0.276 0.688
S15 0.264 0.653 0.686
S16 0.264 0.847 0.186
S17 0.380 0.523 0.230
S18 0.380 0.977 0.730
S19 0.446 0.065 0.407
S20 0.446 0.435 0.907
S21 0.464 0.655 0.553
S22 0.464 0.845 0.053
S23 0.479 0.234 0.627
S24 0.479 0.266 0.127
S25 0.521 0.734 0.873
S26 0.521 0.766 0.373
S27 0.536 0.155 0.947
S28 0.536 0.345 0.447
S29 0.554 0.565 0.093
S30 0.554 0.935 0.593
S31 0.620 0.023 0.270
S32 0.620 0.477 0.770
S33 0.736 0.153 0.814
S34 0.736 0.347 0.314
S35 0.811 0.724 0.312
S36 0.811 0.776 0.812
S37 0.814 0.525 0.978
S38 0.814 0.975 0.478
S39 0.817 0.561 0.473
S40 0.817 0.939 0.973
S41 0.839 0.163 0.186
S42 0.839 0.337 0.686
S43 0.888 0.713 0.633
S44 0.888 0.787 0.133
S45 0.906 0.241 0.015
S46 0.906 0.259 0.515
S47 0.930 0.039 0.688
S48 0.930 0.461 0.188
```

Entry 12:
Computed, not measured: Dy2SnS5 at its PBEsol-relaxed geometry at the SCAN level of DFT.

Summary:
The calculation puts the total magnetization at 0.00 μB per formula unit. The calculation puts the density at 6.25 Mg/m³. The space-group type is Pbam. For the total energy, the calculation gives -192.5 eV per formula unit.

Cell and atoms, written as CIF:
```
data_Dy2SnS5
_cell_length_a 7.598
_cell_length_b 11.238
_cell_length_c 3.757
_cell_angle_alpha 90.00
_cell_angle_beta 90.00
_cell_angle_gamma 90.00
_space_group_name_H-M_alt 'P 1'
_space_group_IT_number 1
_space_group_name_Hall 'P 1'
loop_
_atom_site_label
_atom_site_fract_x
_atom_site_fract_y
_atom_site_fract_z
Dy1 0.028 0.173 0.000
Dy2 0.472 0.673 0.000
Dy3 0.528 0.327 0.000
Dy4 0.972 0.827 0.000
Sn1 0.000 0.500 0.500
Sn2 0.500 0.000 0.500
S1 0.000 0.000 0.500
S2 0.171 0.401 0.000
S3 0.180 0.696 0.500
S4 0.320 0.196 0.500
S5 0.329 0.901 0.000
S6 0.500 0.500 0.500
S7 0.671 0.099 0.000
S8 0.680 0.804 0.500
S9 0.820 0.304 0.500
S10 0.829 0.599 0.000
```

Which value of density does entry 7 give?
10.29 Mg/m³

Which of these has the highest density?
DyTaRu2

What is the density in the tenth record?
5.46 Mg/m³